Entry 1:
Here is a geometry-optimized K3Sb5Te12 structure from the Alexandria database. Energies are from PBE.

a = 18.6417 Å, b = 18.6417 Å, c = 18.6417 Å
α = 90.00°, β = 90.00°, γ = 90.00°
With the nearest neighbours (Å) after each atom.
Space group Ia-3d (No. 230)
Inequivalent atoms, fractional coordinates:
K1 0.0000 0.2500 0.1250 (multiplicity 24)  8 Te 3.61-3.62
Sb1 0.0000 0.0000 0.0000 (multiplicity 16)  6 Te 3.03
Sb2 0.0000 0.2500 0.3750 (multiplicity 24)  4 Te 2.83
Te1 0.0290 0.0592 0.6486 (multiplicity 96)  2 Sb 2.83-3.03

energy	-0.120	Ha/atom
ΔE_f (raw)	-0.178	eV per atom

Entry 2:
Here is a geometry-optimized MgTa2Cl structure from the Alexandria database. Energies are from PBE.

a = 3.1230 Å, b = 4.9437 Å, c = 9.5319 Å
α = 90.00°, β = 90.00°, γ = 90.00°
With the nearest neighbours (Å) after each atom.
Space group Cmmm (No. 65)
Inequivalent atoms, fractional coordinates:
Mg1 0.0000 0.0000 0.0000 (multiplicity 2)  6 Mg 2.92-3.12, 4 Ta 2.98
Ta1 0.0000 0.5000 0.2657 (multiplicity 4)  2 Cl 2.72, 4 Ta 2.92, 2 Mg 2.98
Cl1 0.0000 0.0000 0.5000 (multiplicity 2)  4 Ta 2.72, 4 Cl 2.92

ΔE to the lowest computed polymorph	1.59	eV per formula unit
energy	-0.237	Ha/atom
ΔE_f (raw)	0.338	eV per atom

Entry 3:
Here is a geometry-optimized YZr2Mo structure from the Alexandria database. Energies are from PBE.

a = 3.3348 Å, b = 3.3348 Å, c = 29.0831 Å
α = 90.00°, β = 90.00°, γ = 120.00°
With the nearest neighbours (Å) after each atom.
Space group R-3m (No. 166, hexagonal axes)
Inequivalent atoms, fractional coordinates:
Y1 0.0000 0.0000 0.0000 (multiplicity 3)  6 Y 3.33, 6 Zr 3.44
Zr1 0.0000 0.0000 0.2352 (multiplicity 6)  3 Mo 2.77
Mo1 0.0000 0.0000 0.5000 (multiplicity 3)  6 Zr 2.77

ΔE_f	0.2027	eV per atom
ΔE to the lowest computed polymorph	0.53	eV per formula unit
energy	-0.309	Ha/atom

Entry 4:
Here is a geometry-optimized NaAsRu structure from the Alexandria database. Energies are from PBE.

a = 3.1281 Å, b = 4.4539 Å, c = 10.1407 Å
α = 91.61°, β = 90.07°, γ = 110.51°
With the nearest neighbours (Å) after each atom.
Space group P1 (No. 1)
Inequivalent atoms, fractional coordinates:
Na1 0.0000 0.0000 0.0000 (multiplicity 1)  3 As 3.09-3.14, 2 Na 3.13, 2 Ru 3.19
Na2 0.2641 0.5334 0.3053 (multiplicity 1)  2 Ru 3.09, 2 Na 3.13, 3 As 3.23-3.31
As1 0.7126 0.4249 0.8012 (multiplicity 1)  4 Ru 2.44-2.51
As2 0.9818 0.9660 0.5259 (multiplicity 1)  5 Ru 2.40-2.67
Ru1 0.4212 0.8435 0.7316 (multiplicity 1)  5 As 2.46-2.67
Ru2 0.6971 0.3978 0.5602 (multiplicity 1)  4 As 2.40-2.44

ΔE_f	-0.1486	eV per atom
energy	-0.192	Ha/atom

Entry 5:
Here is a geometry-optimized Dy3Co4Ni2 structure from the Alexandria database. Energies are from PBE.

a = 3.9052 Å, b = 3.9052 Å, c = 23.5598 Å
α = 90.00°, β = 90.00°, γ = 120.00°
With the nearest neighbours (Å) after each atom.
Space group P3m1 (No. 156)
Inequivalent atoms, fractional coordinates:
Dy1 0.0000 0.0000 0.0000 (multiplicity 1)  6 Ni 2.98, 6 Co 2.99-3.00
Dy2 0.0000 0.0000 0.1657 (multiplicity 1)  6 Ni 2.98, 6 Co 2.99
Dy3 0.0000 0.0000 0.3332 (multiplicity 1)  9 Co 2.98-3.00, 3 Ni 2.98
Dy4 0.0000 0.0000 0.4988 (multiplicity 1)  3 Ni 2.98, 9 Co 2.99-3.00
Dy5 0.0000 0.0000 0.6664 (multiplicity 1)  3 Ni 2.99, 9 Co 2.99-3.00
Dy6 0.0000 0.0000 0.8322 (multiplicity 1)  9 Co 2.98-3.00, 3 Ni 2.98
Co1 0.3333 0.6667 0.2492 (multiplicity 1)  3 Co 2.25
Co2 0.3333 0.6667 0.4157 (multiplicity 1)  3 Ni 2.25
Co3 0.3333 0.6667 0.5826 (multiplicity 1)  3 Co 2.25
Co4 0.3333 0.6667 0.7495 (multiplicity 1)  3 Ni 2.25
Co5 0.3333 0.6667 0.9163 (multiplicity 1)  3 Co 2.25
Co6 0.6667 0.3333 0.2491 (multiplicity 1)  3 Co 2.25
Co7 0.6667 0.3333 0.5826 (multiplicity 1)  3 Co 2.25
Co8 0.6667 0.3333 0.9165 (multiplicity 1)  3 Co 2.25
Ni1 0.3333 0.6667 0.0828 (multiplicity 1)  3 Ni 2.25
Ni2 0.6667 0.3333 0.0829 (multiplicity 1)  3 Ni 2.25
Ni3 0.6667 0.3333 0.4158 (multiplicity 1)  3 Co 2.25
Ni4 0.6667 0.3333 0.7495 (multiplicity 1)  3 Co 2.25

ΔE_f	-0.3426	eV per atom
energy	-0.232	Ha/atom

Entry 6:
Here is a geometry-optimized LaAl2PtF structure from the Alexandria database. Energies are from PBE.

a = 4.4785 Å, b = 4.4785 Å, c = 4.9252 Å
α = 90.00°, β = 90.00°, γ = 90.00°
With the nearest neighbours (Å) after each atom.
Space group P4/mmm (No. 123)
Inequivalent atoms, fractional coordinates:
La1 0.0000 0.0000 0.0000 (multiplicity 1)  2 F 2.46
Al1 0.0000 0.5000 0.5000 (multiplicity 2)  2 F 2.24
Pt1 0.5000 0.5000 0.0000 (multiplicity 1)  4 La 3.17, 8 Al 3.33
F1 0.0000 0.0000 0.5000 (multiplicity 1)  4 Al 2.24, 2 La 2.46

energy	-0.179	Ha/atom
ΔE_f (raw)	-0.816	eV per atom

Entry 7:
Here is a geometry-optimized Si2SnPb structure from the Alexandria database. Energies are from PBE.

a = 7.1524 Å, b = 7.1524 Å, c = 7.1524 Å
α = 90.00°, β = 90.00°, γ = 90.00°
With the nearest neighbours (Å) after each atom.
Space group Fm-3m (No. 225)
Inequivalent atoms, fractional coordinates:
Si1 0.2500 0.2500 0.2500 (multiplicity 8)  4 Pb 3.10, 4 Sn 3.10
Sn1 0.0000 0.0000 0.0000 (multiplicity 4)  8 Si 3.10
Pb1 0.0000 0.0000 0.5000 (multiplicity 4)  8 Si 3.10

ΔE to the lowest computed polymorph	1.01	eV per formula unit
energy	-0.150	Ha/atom
ΔE_f (raw)	0.554	eV per atom

Entry 8:
Here is a geometry-optimized Cs3Tl6Bi2Sb structure from the Alexandria database. Energies are from PBE.

a = 8.3595 Å, b = 8.3595 Å, c = 10.0369 Å
α = 90.00°, β = 90.00°, γ = 120.00°
With the nearest neighbours (Å) after each atom.
Space group P-3m1 (No. 164)
Inequivalent atoms, fractional coordinates:
Cs1 0.0000 0.0000 0.0000 (multiplicity 1)  2 Sb 5.02, 6 Bi 5.07, 6 Tl 5.15, 6 Cs 5.30
Cs2 0.3333 0.6667 0.7811 (multiplicity 2)  1 Bi 3.73, 3 Tl 4.08
Tl1 0.2055 0.4111 0.4188 (multiplicity 6)  1 Sb 3.09, 4 Tl 3.21-3.39, 1 Bi 3.24
Bi1 0.3333 0.6667 0.1533 (multiplicity 2)  3 Tl 3.24
Sb1 0.0000 0.0000 0.5000 (multiplicity 1)  6 Tl 3.09

energy	-0.088	Ha/atom
ΔE_f (raw)	-0.010	eV per atom

Entry 9:
Here is a geometry-optimized MgTlSeO4 structure from the Alexandria database. Energies are from PBE.

a = 8.5428 Å, b = 8.5428 Å, c = 8.5428 Å
α = 90.00°, β = 90.00°, γ = 90.00°
With the nearest neighbours (Å) after each atom.
Space group F-43m (No. 216)
Inequivalent atoms, fractional coordinates:
Mg1 0.0000 0.0000 0.0000 (multiplicity 4)  4 O 1.94
Tl1 0.2500 0.2500 0.2500 (multiplicity 4)  12 O 3.56, 4 Mg 3.70
Se1 0.2500 0.2500 0.7500 (multiplicity 4)  4 O 1.76
O1 0.1310 0.1310 0.8690 (multiplicity 16)  1 Se 1.76, 1 Mg 1.94

energy	-0.182	Ha/atom
ΔE_f (raw)	-1.057	eV per atom

Entry 10:
Here is a geometry-optimized BaIr2Cl structure from the Alexandria database. Energies are from PBE.

a = 3.9071 Å, b = 3.9071 Å, c = 12.6509 Å
α = 90.00°, β = 90.00°, γ = 90.00°
With the nearest neighbours (Å) after each atom.
Space group I4/mmm (No. 139)
Inequivalent atoms, fractional coordinates:
Ba1 0.0000 0.0000 0.0000 (multiplicity 2)  4 Cl 2.76
Ir1 0.0000 0.5000 0.2500 (multiplicity 4)  4 Ir 2.76
Cl1 0.0000 0.0000 0.5000 (multiplicity 2)  4 Ba 2.76

ΔE to the lowest computed polymorph	1.88	eV per formula unit
energy	-0.192	Ha/atom
ΔE_f (raw)	0.143	eV per atom

Entry 11:
Here is a geometry-optimized Dy7Er2Th2 structure from the Alexandria database. Energies are from PBE.

a = 11.2586 Å, b = 11.4842 Å, c = 5.9865 Å
α = 90.00°, β = 113.45°, γ = 90.00°
With the nearest neighbours (Å) after each atom.
Space group C2/m (No. 12)
Inequivalent atoms, fractional coordinates:
Dy1 0.0000 0.0000 0.0000 (multiplicity 2)  6 Dy 3.23-3.47
Dy2 0.1743 0.2324 0.1668 (multiplicity 8)  3 Dy 3.13-3.38, 2 Th 3.32-3.46
Dy3 0.2363 0.0000 0.5892 (multiplicity 4)  3 Er 3.37-3.66, 5 Dy 3.38-3.55, 2 Th 3.49
Er1 0.0896 0.5000 0.8049 (multiplicity 4)  7 Dy 3.37-3.72, 2 Er 3.40-3.64, 2 Th 3.71
Th1 0.0000 0.2128 0.5000 (multiplicity 4)  8 Dy 3.32-3.69, 2 Er 3.71

ΔE_f	0.1907	eV per atom
ΔE to the lowest computed polymorph	0.13	eV per formula unit
energy	-0.181	Ha/atom

Entry 12:
Here is a geometry-optimized Na8Nb2Cu4S21 structure from the Alexandria database. Energies are from PBE.

a = 7.8731 Å, b = 30.1438 Å, c = 6.8776 Å
α = 90.00°, β = 90.00°, γ = 90.00°
With the nearest neighbours (Å) after each atom.
Space group P2_12_12 (No. 18)
Inequivalent atoms, fractional coordinates:
Na1 0.0000 0.0000 0.0391 (multiplicity 2)  7 S 2.99-3.14, 4 Cu 3.26-3.27
Na2 0.0000 0.5000 0.2539 (multiplicity 2)  6 S 3.06-3.14
Na3 0.2396 0.8587 0.6586 (multiplicity 4)  6 S 2.85-3.17
Na4 0.2409 0.1433 0.6515 (multiplicity 4)  5 S 2.86-3.02
Na5 0.2419 0.2427 0.0417 (multiplicity 4)  5 S 2.82-3.09
Nb1 0.0002 0.3932 0.9610 (multiplicity 4)  4 S 2.30-2.33
Cu1 0.2494 0.4326 0.7262 (multiplicity 4)  4 S 2.29-2.39
Cu2 0.2493 0.5682 0.7270 (multiplicity 4)  4 S 2.30-2.37
S1 0.0000 0.0000 0.5913 (multiplicity 2)  2 S 2.09
S2 0.0010 0.1054 0.3752 (multiplicity 4)  1 S 2.09
S3 0.0009 0.3227 0.0904 (multiplicity 4)  1 Nb 2.30
S4 0.0005 0.3960 0.6223 (multiplicity 4)  1 Nb 2.33, 2 Cu 2.36
S5 0.0030 0.7917 0.7673 (multiplicity 4)  1 S 2.09
S6 0.0121 0.7537 0.5140 (multiplicity 4)  2 S 2.06-2.09
S7 0.0134 0.1615 0.1962 (multiplicity 4)  2 S 2.07-2.09
S8 0.1477 0.7919 0.3192 (multiplicity 4)  2 S 2.06-2.07
S9 0.2194 0.0004 0.4209 (multiplicity 4)  1 S 2.09, 2 Cu 2.29-2.30
S10 0.2360 0.4324 0.0620 (multiplicity 4)  1 Nb 2.31, 1 Cu 2.31
S11 0.2371 0.5685 0.0640 (multiplicity 4)  1 Nb 2.31, 1 Cu 2.32

energy	-0.164	Ha/atom
ΔE_f (raw)	-0.653	eV per atom

Entry 13:
Here is a geometry-optimized NdTaMnOs2 structure from the Alexandria database. Energies are from PBE.

a = 4.2398 Å, b = 4.2398 Å, c = 10.8333 Å
α = 90.00°, β = 90.00°, γ = 90.00°
With the nearest neighbours (Å) after each atom.
Space group I-4m2 (No. 119)
Inequivalent atoms, fractional coordinates:
Nd1 0.0000 0.0000 0.0000 (multiplicity 2)  8 Os 3.26, 4 Ta 3.44, 4 Mn 3.44
Ta1 0.0000 0.5000 0.7500 (multiplicity 2)  4 Os 2.56
Mn1 0.0000 0.5000 0.2500 (multiplicity 2)  4 Os 2.56
Os1 0.0000 0.0000 0.3823 (multiplicity 4)  1 Os 2.55, 2 Ta 2.56, 2 Mn 2.56

ΔE_f	-0.0435	eV per atom
energy	-0.356	Ha/atom

Entry 14:
Here is a geometry-optimized ZnNi2PtN structure from the Alexandria database. Energies are from PBE.

a = 3.7556 Å, b = 3.7556 Å, c = 4.2491 Å
α = 90.00°, β = 90.00°, γ = 90.00°
With the nearest neighbours (Å) after each atom.
Space group P4/mmm (No. 123)
Inequivalent atoms, fractional coordinates:
Zn1 0.0000 0.0000 0.0000 (multiplicity 1)  4 Pt 2.66, 8 Ni 2.84
Ni1 0.0000 0.5000 0.5000 (multiplicity 2)  2 N 1.88
Pt1 0.5000 0.5000 0.0000 (multiplicity 1)  2 N 2.12
N1 0.5000 0.5000 0.5000 (multiplicity 1)  4 Ni 1.88

ΔE to the lowest computed polymorph	0.07	eV per formula unit
energy	-0.200	Ha/atom
ΔE_f (raw)	-0.004	eV per atom

Entry 15:
Here is a geometry-optimized SrDyN structure from the Alexandria database. Energies are from PBE.

a = 11.1912 Å, b = 8.7613 Å, c = 6.4625 Å
α = 90.00°, β = 90.00°, γ = 90.00°
With the nearest neighbours (Å) after each atom.
Space group Cmce (No. 64)
Inequivalent atoms, fractional coordinates:
Sr1 0.1725 0.0000 0.0000 (multiplicity 8)  2 N 2.63
Dy1 0.0000 0.1718 0.4236 (multiplicity 8)  2 N 2.19-2.26
N1 0.0000 0.0505 0.7324 (multiplicity 8)  2 Dy 2.19-2.26

energy	-0.200	Ha/atom
ΔE_f (raw)	-0.581	eV per atom

Entry 16:
Here is a geometry-optimized KGa6Pt2 structure from the Alexandria database. Energies are from PBE.

a = 13.1878 Å, b = 13.1878 Å, c = 13.1878 Å
α = 90.00°, β = 90.00°, γ = 90.00°
With the nearest neighbours (Å) after each atom.
Space group Fd-3m (No. 227, origin choice 2)
Inequivalent atoms, fractional coordinates:
K1 0.1250 0.1250 0.1250 (multiplicity 8)  6 Ga 4.17
Ga1 0.0591 0.3750 0.8750 (multiplicity 48)  2 Pt 2.46
Pt1 0.0000 0.0000 0.5000 (multiplicity 16)  6 Ga 2.46

ΔE_f	-0.1191	eV per atom
energy	-0.132	Ha/atom

Entry 17:
Here is a geometry-optimized TaAl4 structure from the Alexandria database. Energies are from PBE.

a = 5.0822 Å, b = 5.0822 Å, c = 5.0822 Å
α = 90.00°, β = 90.00°, γ = 90.00°
With the nearest neighbours (Å) after each atom.
Space group Pm-3m (No. 221)
Inequivalent atoms, fractional coordinates:
Ta1 0.0000 0.0000 0.0000 (multiplicity 1)  6 Al 2.54
Al1 0.0000 0.0000 0.5000 (multiplicity 3)  2 Ta 2.54
Al2 0.5000 0.5000 0.5000 (multiplicity 1)  12 Al 3.59

ΔE_f	0.9702	eV per atom
ΔE to the lowest computed polymorph	5.69	eV per formula unit
energy	-0.161	Ha/atom